A plane-wave DFT calculation with GGA+U was carried out for a relaxed structure of NaDyCoO3.

Geometry as extended XYZ:
```
12
Lattice="-2.832 -1.832 -4.330 -4.555 -2.686 -1.469 -4.592 7.996 -0.380" Properties=species:S:1:pos:R:3 pbc="T T T"
Na -6.537 -1.297 -4.325
Na -5.443 4.774 -1.854
O -4.736 1.767 -2.325
O -7.244 1.710 -3.853
O -1.599 1.723 -0.449
O -10.380 1.755 -5.729
O -3.067 -1.138 -2.187
O -8.912 4.615 -3.991
Co -4.521 -0.064 -2.743
Co -7.458 3.542 -3.436
Dy 0.000 0.000 0.000
Dy -2.296 3.998 -0.190
```

Properties
E_tot: -6.3254 eV per atom
Space group: No. 63
Total magnetic moment: 3.00 μB/f.u.